A plane-wave DFT calculation with PBE with a Hubbard U was carried out for a relaxed MnRh2AuF crystal.

Unit cell a=4.136 b=4.136 c=4.919 alpha=90.00 beta=90.00 gamma=90.00
Space group P4/mmm (No. 123)
Symmetry-distinct sites (fractional):
Mn  0.000  0.000  0.000 (multiplicity 1)
Rh  0.000  0.500  0.500 (multiplicity 2)
Au  0.500  0.500  0.000 (multiplicity 1)
F  0.500  0.500  0.500 (multiplicity 1)

Output
Total energy: -25.34 eV for the cell shown
Volume: 16.8 Å³ per atom